SCAN InMoNO2, PBEsol geometry; E_form (uncorrected) = -962 meV per atom
1.0
3.866 0.000 0.000
0.000 3.866 0.000
0.000 0.000 4.078
In O N Mo
1 2 1 1
direct
0.500 0.500 0.500
0.000 0.500 0.000
0.500 0.000 0.000
0.000 0.000 0.500
0.000 0.000 0.000

---

SCAN InMoN2O, PBEsol geometry; E_form (uncorrected) = 1255 meV per atom
1.0
4.011 0.000 0.000
0.000 4.068 0.000
0.000 0.000 4.068
In O N Mo
1 1 2 1
direct
0.000 0.000 0.000
0.500 0.000 0.000
0.000 0.500 0.000
0.000 0.000 0.500
0.500 0.500 0.500

---

SCAN ScInMoN2, PBEsol geometry; E_form (uncorrected) = 1253 meV per atom
1.0
4.060 0.000 0.000
0.000 4.060 0.000
0.000 0.000 5.136
Sc Mo N In
1 1 2 1
direct
0.000 0.000 0.000
0.000 0.000 0.500
0.500 0.000 0.000
0.000 0.500 0.000
0.500 0.500 0.500

---

SCAN YIn2MoN, PBEsol geometry; E_form (uncorrected) = 177 meV per atom
1.0
3.790 0.000 0.000
0.000 5.398 0.000
0.000 0.000 5.398
Mo Y N In
1 1 1 2
direct
0.000 0.000 0.000
0.500 0.500 0.500
0.500 0.000 0.000
0.000 0.500 0.000
0.000 0.000 0.500